Entry 1:
In2CuAu: relaxed, PBEsol.

a b c (Å): 3.539 4.126 5.468
angles (deg): 90.00 108.66 90.00
Space group Pm (No. 6)
Inequivalent atoms, fractional coordinates:
In  0.000  0.000  0.000 (multiplicity 1)
In  0.304  0.500  0.613 (multiplicity 1)
Cu  0.741  0.000  0.482 (multiplicity 1)
Au  0.581  0.500  0.165 (multiplicity 1)

Values from the calculation:
E_form, meV per atom: -98.2
Crystal system: monoclinic

Entry 2:
La2ZnRh: relaxed, PBEsol.

a b c (Å): 5.012 5.012 3.693
angles (deg): 90.00 90.00 90.00
Space group P4/mmm (No. 123)
Inequivalent atoms, fractional coordinates:
La  0.000  0.500  0.000 (multiplicity 2)
Zn  0.000  0.000  0.500 (multiplicity 1)
Rh  0.500  0.500  0.500 (multiplicity 1)

Values from the calculation:
E_form, meV per atom: -413.0
Crystal system: tetragonal

Entry 3:
SrZrSb: relaxed, PBEsol.

a b c (Å): 3.852 3.852 11.831
angles (deg): 90.00 90.00 90.00
Space group I4mm (No. 107)
Inequivalent atoms, fractional coordinates:
Sr  0.000  0.000  0.000 (multiplicity 2)
Zr  0.000  0.000  0.289 (multiplicity 2)
Sb  0.000  0.000  0.699 (multiplicity 2)

Values from the calculation:
Offset from the most stable computed form, eV/atom: 0.000
Crystal system: tetragonal
ΔE_f (raw), kcal/mol of atoms: -7.9

Entry 4:
CaP: relaxed, PBEsol.

a b c (Å): 4.033 4.033 10.307
angles (deg): 90.00 90.00 90.00
Space group I4_1/amd (No. 141, origin choice 2)
Inequivalent atoms, fractional coordinates:
Ca  0.000  0.250  0.375 (multiplicity 4)
P  0.000  0.250  0.875 (multiplicity 4)

Values from the calculation:
E_form, meV per atom: -727.4
Crystal system: tetragonal

Entry 5:
LiIn2SiS: relaxed, PBEsol.

a b c (Å): 5.065 5.065 4.649
angles (deg): 90.00 90.00 90.00
Space group P4/mmm (No. 123)
Inequivalent atoms, fractional coordinates:
Li  0.000  0.000  0.000 (multiplicity 1)
In  0.000  0.500  0.500 (multiplicity 2)
Si  0.000  0.000  0.500 (multiplicity 1)
S  0.500  0.500  0.000 (multiplicity 1)

Values from the calculation:
Crystal system: tetragonal
ΔE_f (raw), kcal/mol of atoms: 3.8

Entry 6:
KBr8: relaxed, PBEsol.

a b c (Å): 12.765 12.765 3.977
angles (deg): 90.00 90.00 90.00
Space group I4/mmm (No. 139)
Inequivalent atoms, fractional coordinates:
K  0.000  0.000  0.000 (multiplicity 2)
Br  0.000  0.235  0.000 (multiplicity 8)
Br  0.155  0.155  0.500 (multiplicity 8)

Values from the calculation:
Crystal system: tetragonal
ΔE_f (raw), kcal/mol of atoms: -0.4

Entry 7:
LiAgSn2: relaxed, PBEsol.

a b c (Å): 6.914 6.914 6.914
angles (deg): 90.00 90.00 90.00
Space group Fm-3m (No. 225)
Inequivalent atoms, fractional coordinates:
Li  0.000  0.000  0.000 (multiplicity 4)
Ag  0.000  0.000  0.500 (multiplicity 4)
Sn  0.250  0.250  0.250 (multiplicity 8)

Values from the calculation:
E_form, meV per atom: -144.6
Crystal system: cubic

Entry 8:
YScTeIr2: relaxed, PBEsol.

a b c (Å): 4.869 4.869 5.247
angles (deg): 90.00 90.00 90.00
Space group P4/mmm (No. 123)
Inequivalent atoms, fractional coordinates:
Y  0.000  0.000  0.000 (multiplicity 1)
Sc  0.500  0.500  0.000 (multiplicity 1)
Te  0.000  0.000  0.500 (multiplicity 1)
Ir  0.000  0.500  0.500 (multiplicity 2)

Values from the calculation:
Crystal system: tetragonal
ΔE_f (raw), kcal/mol of atoms: 18.1

Entry 9:
K2ScRu: relaxed, PBEsol.

a b c (Å): 3.467 3.467 10.429
angles (deg): 90.00 90.00 90.00
Space group P4mm (No. 99)
Inequivalent atoms, fractional coordinates:
K  0.000  0.000  0.000 (multiplicity 1)
K  0.500  0.500  0.392 (multiplicity 1)
Sc  0.500  0.500  0.714 (multiplicity 1)
Ru  0.000  0.000  0.629 (multiplicity 1)

Values from the calculation:
E_form, meV per atom: 345.6
Offset from the most stable computed form, eV/atom: 0.000
Crystal system: tetragonal

Entry 10:
LaOs2RhO: relaxed, PBEsol.

a b c (Å): 4.882 4.882 4.780
angles (deg): 90.00 90.00 90.00
Space group P4/mmm (No. 123)
Inequivalent atoms, fractional coordinates:
La  0.000  0.000  0.000 (multiplicity 1)
Os  0.000  0.500  0.000 (multiplicity 2)
Rh  0.000  0.000  0.500 (multiplicity 1)
O  0.500  0.500  0.500 (multiplicity 1)

Values from the calculation:
Crystal system: tetragonal
ΔE_f (raw), kcal/mol of atoms: 70.5

Entry 11:
ReHgSe2Br: relaxed, PBEsol.

a b c (Å): 4.765 4.765 5.328
angles (deg): 90.00 90.00 90.00
Space group P4/mmm (No. 123)
Inequivalent atoms, fractional coordinates:
Re  0.000  0.000  0.000 (multiplicity 1)
Hg  0.500  0.500  0.500 (multiplicity 1)
Se  0.000  0.500  0.000 (multiplicity 2)
Br  0.000  0.000  0.500 (multiplicity 1)

Values from the calculation:
Crystal system: tetragonal
ΔE_f (raw), kcal/mol of atoms: 7.4

Entry 12:
LiFeS3: relaxed, PBEsol.

a b c (Å): 4.487 4.487 4.487
angles (deg): 90.00 90.00 90.00
Space group Pm-3m (No. 221)
Inequivalent atoms, fractional coordinates:
Li  0.000  0.000  0.000 (multiplicity 1)
Fe  0.500  0.500  0.500 (multiplicity 1)
S  0.000  0.500  0.500 (multiplicity 3)

Values from the calculation:
Crystal system: cubic
ΔE_f (raw), kcal/mol of atoms: -3.1

| no. | V (Å³ per cell) |
| --- | --- |
| 1 | 75.6 |
| 2 | 92.8 |
| 3 | 175.5 |
| 4 | 167.7 |
| 5 | 119.2 |
| 6 | 648.1 |
| 7 | 330.5 |
| 8 | 124.4 |
| 9 | 125.4 |
| 10 | 113.9 |
| 11 | 120.9 |
| 12 | 90.3 |